Compound: La8Tm3Sc2
Source: Alexandria
Functional: PBE-GGA
Structure: optimized geometry

Computed properties:
Energy relative to the elements ... 0.16 eV/atom

a b c (Å): 13.1725 11.8092 6.0653
angles (deg): 90.00 111.96 90.00
Space group C2/m (No. 12)
Unique sites:
La 0.0561 0.0000 0.2923 [4 per cell]
La 0.1459 0.5000 0.5940 [4 per cell]
La 0.1637 0.2555 0.1480 [8 per cell]
Tm 0.0000 0.2441 0.5000 [4 per cell]
Tm 0.0000 0.5000 0.0000 [2 per cell]
Sc 0.2013 0.0000 0.8434 [4 per cell]